The following is a DFT calculation (PBE+U) of ZnWOF2 after structural relaxation.

a = 4.3295 Å, b = 4.3295 Å, c = 3.9835 Å
α = 90.00°, β = 90.00°, γ = 90.00°
Last column: nearest neighbours and their distance in Å.
Fractional positions:
Zn 0.5000 0.5000 0.5000  8 F 2.94, 4 O 3.06
F 0.0000 0.5000 0.0000  2 W 2.16
F 0.5000 0.0000 0.0000  2 W 2.16
O 0.0000 0.0000 0.5000  2 W 1.99
W 0.0000 0.0000 0.0000  2 O 1.99, 4 F 2.16

- E_tot (eV per cell) = -24.564
- excess energy over the best structure of this formula in the dataset (meV/atom) = 0
- size of the total moment (μB/atom) = 0.420